Computed, not measured: a crystal of TlHgRu2 relaxed with PBEsol at the SCAN level of DFT.

The structure in POSCAR format:
```
TlHgRu2
1.0
3.216 -3.220 0.000
3.216 3.220 0.000
0.000 0.000 3.228
Tl Hg Ru
1 1 2
direct
0.000 0.000 0.000
0.500 0.500 0.000
0.000 0.500 0.500
0.500 0.000 0.500
```

Computed properties:
The value obtained for the polymorph energy (0 for the lowest one) is 0.023 eV/atom. As for the formation energy: 0.7181 eV per atom. Its space group is Cmmm. As for the total energy: -51.826 eV/atom. As for the density of states at the Fermi level: 0.888 states/eV per atom. Its density is 15.1 Mg/m³.